Compound: LaMg2In
Source: Alexandria via LeMat-Bulk
Functional: GGA-PBEsol
Structure: relaxed

Summary:
* symmetry: No. 216
* energy of formation: -0.2927 eV/atom
* DOS at the Fermi energy: 0.32 states/eV per atom

Cell and atoms, written as CIF:
```
data_LaMg2In
_chemical_formula_sum 'La4 Mg8 In4'
_cell_length_a 7.4105
_cell_length_b 7.4105
_cell_length_c 7.4105
_cell_angle_alpha 90.00
_cell_angle_beta 90.00
_cell_angle_gamma 90.00
_space_group_name_H-M_alt 'P 1'
_space_group_IT_number 1
loop_
_space_group_symop_operation_xyz
'x,y,z'
loop_
_atom_site_label
_atom_site_type_symbol
_atom_site_fract_x
_atom_site_fract_y
_atom_site_fract_z
La1 La 0.0000 0.0000 0.0000
La2 La 0.0000 0.5000 0.5000
La3 La 0.5000 0.0000 0.5000
La4 La 0.5000 0.5000 0.0000
Mg1 Mg 0.0000 0.0000 0.5000
Mg2 Mg 0.0000 0.5000 0.0000
Mg3 Mg 0.2500 0.2500 0.7500
Mg4 Mg 0.2500 0.7500 0.2500
Mg5 Mg 0.5000 0.0000 0.0000
Mg6 Mg 0.5000 0.5000 0.5000
Mg7 Mg 0.7500 0.2500 0.2500
Mg8 Mg 0.7500 0.7500 0.7500
In1 In 0.2500 0.2500 0.2500
In2 In 0.2500 0.7500 0.7500
In3 In 0.7500 0.2500 0.7500
In4 In 0.7500 0.7500 0.2500
```